LaErO3 PBE-GGA optimized geometry; crystal system = trigonal; total energy = -8.35 eV per atom
1.0
3.9329 -4.4104 -0.4456
3.0524 -0.7518 -5.0235
6.0091 1.3824 -0.0510
La Er O
2 2 6
Direct
0.3673 0.3673 0.8981
0.6327 0.6327 0.1019
0.1466 0.1466 0.5603
0.8534 0.8534 0.4397
0.2245 0.9687 0.2588
0.4521 0.7755 0.7412
0.7755 0.0313 0.7412
0.0313 0.4521 0.7412
0.5479 0.2245 0.2588
0.9687 0.5479 0.2588

***

Nb4CdInN2 PBE-GGA optimized geometry; crystal system = hexagonal; total energy = -8.09 eV per atom
1.0
3.1820 0.0000 0.0000
-1.5910 2.7557 0.0000
0.0000 0.0000 14.3747
Nb N Cd In
4 2 1 1
Direct
0.6667 0.3333 0.8297
0.0000 0.0000 0.3318
0.6667 0.3333 0.1703
0.0000 0.0000 0.6682
0.3333 0.6667 0.7507
0.3333 0.6667 0.2493
0.0000 0.0000 0.0000
0.6667 0.3333 0.5000

***

Tb2B2O5 PBE-GGA optimized geometry; energy relative to the lowest polymorph listed for this composition = 0.000 eV per atom; crystal system = tetragonal
1.0
6.7107 0.0000 0.0000
0.0000 3.5250 0.0000
0.0000 0.0000 3.5250
B O Tb
2 5 2
Direct
0.2625 0.5000 0.5000
0.7375 0.5000 0.5000
0.7535 0.5000 0.0000
0.2465 0.5000 0.0000
0.2465 0.0000 0.5000
0.5000 0.5000 0.5000
0.7535 0.0000 0.5000
0.0000 0.0000 0.0000
0.5000 0.0000 0.0000

***

HfNi2Sn PBE-GGA optimized geometry; crystal system = tetragonal; total energy = -6.61 eV per atom
1.0
-3.0789 2.9599 -0.4114
-2.6173 -2.9561 -1.6797
-1.1630 -0.7696 3.1667
Hf Sn Ni
1 1 2
Direct
0.0000 0.0000 0.0000
0.5000 0.5000 0.0000
0.0000 0.5000 0.5000
0.5000 0.0000 0.5000

***

CsYTa PBE-GGA optimized geometry; energy relative to the lowest polymorph listed for this composition = 0.376 eV per atom; crystal system = cubic
1.0
-2.7023 1.4349 4.0404
-0.2824 4.9039 1.2483
-4.3476 2.5282 -0.6269
Ta Y Cs
1 1 1
Direct
0.2500 0.2500 0.2500
0.7500 0.7500 0.7500
0.0000 0.0000 0.0000

***

GdHg PBE-GGA optimized geometry; crystal system = hexagonal; DFT formation energy = -0.593 eV/f.u.
1.0
3.6356 0.0000 0.0000
-1.8178 3.1485 0.0000
0.0000 0.0000 4.8001
Hg Gd
1 1
Direct
0.3333 0.6667 0.2500
0.6667 0.3333 0.7500